Compound: AgSeBr2
Source: Alexandria
Functional: PBE
Structure: optimized geometry

Summary:
mass density: 4.9 g/cm³
magnetization: 0.0 Bohr magnetons per cell
D(E_F): 0.557 states/eV per atom
E_form (uncorrected): 0.2199 eV/atom

Cell lengths 5.246, 5.246, 9.317 Å; angles 73.65, 73.65, 90.00 degrees
Positions (direct):
Br 0.875 0.860 0.750
Ag 0.000 0.000 0.000
Br 0.610 0.125 0.250
Ag 0.750 0.250 0.500
Br 0.140 0.625 0.250
Br 0.375 0.390 0.750
Se 0.500 0.500 0.000
Se 0.250 0.750 0.500